[1]
# Cu3SnI

Cu3SnI after structural relaxation (GGA-PBE, OQMD).

abc: 4.953 4.953 4.953
angles: 90.00 90.00 90.00
Fractional coordinates of all 5 atoms:
Cu: 0.500 0.000 0.000
Cu: 0.000 0.500 0.000
Cu: 0.000 0.000 0.500
I: 0.000 0.000 0.000
Sn: 0.500 0.500 0.500

Computed properties:
symmetry: Pm-3m (221)



[2]
# NdCo2SnSb

NdCo2SnSb after structural relaxation (GGA-PBE, OQMD).

abc: 4.371 4.371 10.228
angles: 90.00 90.00 90.00
Fractional coordinates of all 10 atoms:
Co: 0.000 0.000 0.000
Co: 0.500 0.500 0.000
Co: 0.500 0.000 0.368
Co: 0.000 0.500 0.632
Nd: 0.000 0.500 0.244
Nd: 0.500 0.000 0.756
Sb: 0.500 0.000 0.128
Sb: 0.000 0.500 0.872
Sn: 0.000 0.000 0.500
Sn: 0.500 0.500 0.500

Computed properties:
symmetry: P4/nmm (129)



[3]
# Sm2MoC2

Sm2MoC2 after structural relaxation (GGA-PBE, OQMD).

abc: 6.736 5.277 10.197
angles: 90.00 90.00 90.00
Fractional coordinates of all 20 atoms:
C: 0.684 0.750 0.045
C: 0.949 0.250 0.242
C: 0.449 0.250 0.258
C: 0.184 0.750 0.455
C: 0.816 0.250 0.545
C: 0.551 0.750 0.742
C: 0.051 0.750 0.758
C: 0.316 0.250 0.955
Mo: 0.218 0.250 0.135
Mo: 0.718 0.250 0.365
Mo: 0.282 0.750 0.635
Mo: 0.782 0.750 0.865
Sm: 0.682 0.250 0.055
Sm: 0.963 0.750 0.220
Sm: 0.463 0.750 0.280
Sm: 0.182 0.250 0.445
Sm: 0.818 0.750 0.555
Sm: 0.537 0.250 0.720
Sm: 0.037 0.250 0.780
Sm: 0.318 0.750 0.945

Computed properties:
symmetry: Pnma (62)



We obtain E values of -11.86 -29.32 -39.79 eV per formula unit for the records listed above, in that order.